Below is crystalline OsSeBr2 at its relaxed geometry, with properties calculated at the PBE level.

The density of states at the Fermi level is 3.379 states/eV/f.u. As for the uncorrected formation energy: 1.477 eV/atom.

The space group is Fm-3m (No. 225) and the conventional cell measures 6.847, 6.847 and 6.847 Å, with angles of 90.00, 90.00 and 90.00 degrees. Symmetry generates all atoms from Os at (0.000, 0.000, 0.000), Se at (0.000, 0.000, 0.500) and Br at (0.250, 0.250, 0.250).

Below is crystalline OsSeBr2 at its relaxed geometry, with properties calculated at the PBE level.

The density of states at the Fermi level is 4.544 states/eV/f.u. As for the uncorrected formation energy: 1.478 eV/atom.

The space group is Cmmm (No. 65) and the conventional cell measures 6.215, 8.151 and 3.061 Å, with angles of 90.00, 90.00 and 90.00 degrees. Symmetry generates all atoms from Os at (0.000, 0.000, 0.000), Se at (0.000, 0.500, 0.000) and Br at (0.250, 0.250, 0.500).

Below is crystalline Os2SeBr at its relaxed geometry, with properties calculated at the PBE level.

The density of states at the Fermi level is 3.504 states/eV/f.u. As for the uncorrected formation energy: 0.392 eV/atom.

The space group is Pm (No. 6) and the conventional cell measures 2.823, 3.382 and 8.907 Å, with angles of 90.00, 90.62 and 90.00 degrees. Symmetry generates all atoms from Os at (0.000, 0.000, 0.000), Os at (0.495, 0.500, 0.848), Se at (0.007, 0.500, 0.213) and Br at (0.487, 0.000, 0.618).

Below is crystalline OsSeBr at its relaxed geometry, with properties calculated at the PBE level.

The density of states at the Fermi level is 2.763 states/eV/f.u. As for the uncorrected formation energy: 0.568 eV/atom.

The space group is F-43m (No. 216) and the conventional cell measures 6.194, 6.194 and 6.194 Å, with angles of 90.00, 90.00 and 90.00 degrees. Symmetry generates all atoms from Os at (0.000, 0.000, 0.000), Se at (0.250, 0.250, 0.250) and Br at (0.250, 0.250, 0.750).

Please write out number 4 again, unchanged.
Below is crystalline OsSeBr at its relaxed geometry, with properties calculated at the PBE level.

The density of states at the Fermi level is 2.763 states/eV/f.u. As for the uncorrected formation energy: 0.568 eV/atom.

The space group is F-43m (No. 216) and the conventional cell measures 6.194, 6.194 and 6.194 Å, with angles of 90.00, 90.00 and 90.00 degrees. Symmetry generates all atoms from Os at (0.000, 0.000, 0.000), Se at (0.250, 0.250, 0.250) and Br at (0.250, 0.250, 0.750).

Q: What is the density of states at the Fermi level in the first record?
A: 3.379 states/eV/f.u.